[1]
## Pr2PaAl (PBE)

Data for a relaxed structure of Pr2PaAl.

- E_tot (Ry per atom) = -0.4025
- ΔE_f (meV/atom) = 223
- ρ (g/cm³) = 8.1

Unit cell a=5.3990 b=5.3990 c=5.3990 alpha=60.00 beta=60.00 gamma=60.00
Atoms (fractional coordinates):
Pr1 0.2500 0.2500 0.2500
Pr2 0.7500 0.7500 0.7500
Pa1 0.0000 0.0000 0.0000
Al1 0.5000 0.5000 0.5000

***

[2]
## Li2PuN2 (PBE)

Data for a relaxed structure of Li2PuN2.

- E_tot (Ry per atom) = -0.5687
- ΔE_f (raw) (meV/atom) = -775
- ρ (g/cm³) = 6.4

Unit cell a=7.5723 b=7.5723 c=7.5723 alpha=26.13 beta=26.13 gamma=26.13
Atoms (fractional coordinates):
Li1 0.2330 0.2330 0.2330
Li2 0.7670 0.7670 0.7670
Pu1 0.0000 0.0000 0.0000
N1 0.3881 0.3881 0.3881
N2 0.6119 0.6119 0.6119

***

[3]
## SrTl2Te (PBE)

Data for a relaxed structure of SrTl2Te.

- E_tot (Ry per atom) = -0.2206
- energy above the lowest structure with this stoichiometry (meV/atom) = 32.8
- ΔE_f (raw) (meV/atom) = -612
- ρ (g/cm³) = 7.4

Unit cell a=4.3504 b=4.4009 c=7.2855 alpha=90.00 beta=91.21 gamma=90.00
Atoms (fractional coordinates):
Sr1 0.0000 0.0000 0.0000
Tl1 0.4873 0.5000 0.6945
Tl2 0.9722 0.0000 0.4794
Te1 0.5043 0.5000 0.1559

***

[4]
## CdReNi2 (PBE)

Data for a relaxed structure of CdReNi2.

- E_tot (Ry per atom) = -0.4465
- ΔE_f (meV/atom) = 156
- ρ (g/cm³) = 12.1

Unit cell a=2.7182 b=3.5422 c=5.9207 alpha=90.00 beta=90.00 gamma=90.00
Atoms (fractional coordinates):
Cd1 0.0000 0.0000 0.0000
Re1 0.0000 0.0000 0.5000
Ni1 0.5000 0.5000 0.2891
Ni2 0.5000 0.5000 0.7109